Run one
# CdCu2Pt2

A relaxed CdCu2Pt2 crystal (PBE, Alexandria via LeMat-Bulk).

## Properties
Crystal system: orthorhombic
D(E_F): 3.76 states/eV/cell
Density: 13.4 g/cm³

Unit cell a=2.850 b=19.303 c=2.835 alpha=90.00 beta=90.00 gamma=90.00
Space group Cmmm (No. 65)
Unique sites:
Cd: 0.000 0.000 0.000 x2
Cu: 0.000 0.198 0.000 x4
Pt: 0.000 0.391 0.500 x4

---

Run two
# CdCu2Pt2

A relaxed CdCu2Pt2 crystal (PBE, Alexandria via LeMat-Bulk).

## Properties
Crystal system: tetragonal
D(E_F): 3.74 states/eV/cell
Density: 12.7 g/cm³

Unit cell a=3.615 b=3.615 c=12.642 alpha=90.00 beta=90.00 gamma=90.00
Space group I4/mmm (No. 139)
Unique sites:
Cd: 0.000 0.000 0.000 x2
Cu: 0.000 0.500 0.250 x4
Pt: 0.000 0.000 0.394 x4

---

Run three
# CdCu2Pt2

A relaxed CdCu2Pt2 crystal (PBE, Alexandria via LeMat-Bulk).

## Properties
Crystal system: tetragonal
D(E_F): 4.18 states/eV/cell
Density: 13.3 g/cm³

Unit cell a=7.346 b=7.346 c=2.908 alpha=90.00 beta=90.00 gamma=90.00
Space group P4/mbm (No. 127)
Unique sites:
Cd: 0.000 0.000 0.000 x2
Cu: 0.162 0.338 0.500 x4
Pt: 0.135 0.635 0.000 x4

---

Run four
# CdCu2Pt2

A relaxed CdCu2Pt2 crystal (PBE, Alexandria via LeMat-Bulk).

## Properties
Crystal system: tetragonal
D(E_F): 7.48 states/eV/cell
Density: 12.5 g/cm³

Unit cell a=3.795 b=3.795 c=11.632 alpha=90.00 beta=90.00 gamma=90.00
Space group I4/mmm (No. 139)
Unique sites:
Cd: 0.000 0.000 0.000 x2
Cu: 0.000 0.000 0.400 x4
Pt: 0.000 0.500 0.250 x4

---

Which is most stable, and by how much? run three, by 3.2 kJ/mol of atoms.

---

Run one
# CdCuPt4

A relaxed CdCuPt4 crystal (PBE, Alexandria via LeMat-Bulk).

## Properties
Crystal system: cubic
D(E_F): 19.65 states/eV/cell
Density: 15.2 g/cm³

Unit cell a=7.479 b=7.479 c=7.479 alpha=90.00 beta=90.00 gamma=90.00
Space group F-43m (No. 216)
Unique sites:
Cd: 0.000 0.000 0.000 x4
Cu: 0.250 0.250 0.750 x4
Pt: 0.125 0.125 0.375 x16

---

Run two
# CdCuPt4

A relaxed CdCuPt4 crystal (PBE, Alexandria via LeMat-Bulk).

## Properties
Crystal system: tetragonal
D(E_F): 6.82 states/eV/cell
Density: 16.9 g/cm³

Unit cell a=2.824 b=2.824 c=11.777 alpha=90.00 beta=90.00 gamma=90.00
Space group P4/mmm (No. 123)
Unique sites:
Cd: 0.000 0.000 0.000 x1
Cu: 0.500 0.500 0.500 x1
Pt: 0.000 0.000 0.350 x2
Pt: 0.500 0.500 0.179 x2

---

Which is most stable, and by how much? run two, by 15.2 kJ/mol of atoms.

---

Run one
# PuCd3Cu8

A relaxed PuCd3Cu8 crystal (PBE, Alexandria via LeMat-Bulk).

## Properties
Crystal system: trigonal
D(E_F): 50.41 states/eV/cell
Density: 9.7 g/cm³

Unit cell a=5.0793 b=5.0793 c=25.0494 alpha=90.00 beta=90.00 gamma=120.00
Space group R3m (No. 160, hexagonal axes)
Unique sites:
Pu: 0.0000 0.0000 0.0000 x3
Cd: 0.0000 0.0000 0.1280 x3
Cd: 0.0000 0.0000 0.4986 x3
Cd: 0.0000 0.0000 0.6187 x3
Cu: 0.0000 0.0000 0.3120 x3
Cu: 0.0000 0.0000 0.8126 x3
Cu: 0.0004 0.5002 0.0638 x9
Cu: 0.1672 0.3344 0.8945 x9

---

Run two
# PuCd3Cu8

A relaxed PuCd3Cu8 crystal (PBE, Alexandria via LeMat-Bulk).

## Properties
Crystal system: trigonal
D(E_F): 15.28 states/eV/cell
Density: 9.7 g/cm³

Unit cell a=5.0934 b=5.0934 c=8.3142 alpha=90.00 beta=90.00 gamma=120.00
Space group P3m1 (No. 156)
Unique sites:
Pu: 0.0000 0.0000 0.0000 x1
Cd: 0.0000 0.0000 0.3888 x1
Cd: 0.6667 0.3333 0.4933 x1
Cd: 0.6667 0.3333 0.8545 x1
Cu: 0.1667 0.3334 0.6826 x3
Cu: 0.3333 0.6667 0.4325 x1
Cu: 0.3333 0.6667 0.9360 x1
Cu: 0.5020 0.0040 0.1900 x3

---

Which is most stable, and by how much? run one, by 0.6 kJ/mol of atoms.

---

Run one
# RbCdCu3

A relaxed RbCdCu3 crystal (PBE, Alexandria via LeMat-Bulk).

## Properties
Crystal system: cubic
D(E_F): 1.19 states/eV/cell
Density: 4.9 g/cm³

Unit cell a=5.073 b=5.073 c=5.073 alpha=90.00 beta=90.00 gamma=90.00
Space group Pm-3m (No. 221)
Unique sites:
Rb: 0.000 0.000 0.000 x1
Cd: 0.500 0.500 0.500 x1
Cu: 0.000 0.500 0.500 x3

---

Run two
# RbCdCu3

A relaxed RbCdCu3 crystal (PBE, Alexandria via LeMat-Bulk).

## Properties
Crystal system: cubic
D(E_F): 6.31 states/eV/cell
Density: 4.0 g/cm³

Unit cell a=5.432 b=5.432 c=5.432 alpha=90.00 beta=90.00 gamma=90.00
Space group Pm-3m (No. 221)
Unique sites:
Rb: 0.000 0.000 0.000 x1
Cd: 0.500 0.500 0.500 x1
Cu: 0.000 0.000 0.500 x3

---

Which is most stable, and by how much? run one, by 102.7 kJ/mol of atoms.

---

Run one
# RbCd2Cu

A relaxed RbCd2Cu crystal (PBE, Alexandria via LeMat-Bulk).

## Properties
Crystal system: cubic
D(E_F): 5.35 states/eV/cell
Density: 5.4 g/cm³

Unit cell a=7.701 b=7.701 c=7.701 alpha=90.00 beta=90.00 gamma=90.00
Space group Fm-3m (No. 225)
Unique sites:
Rb: 0.000 0.000 0.000 x4
Cd: 0.250 0.250 0.250 x8
Cu: 0.000 0.000 0.500 x4

---

Run two
# RbCd2Cu

A relaxed RbCd2Cu crystal (PBE, Alexandria via LeMat-Bulk).

## Properties
Crystal system: trigonal
D(E_F): 6.95 states/eV/cell
Density: 4.9 g/cm³

Unit cell a=4.7497 b=4.7497 c=19.5623 alpha=90.00 beta=90.00 gamma=120.00
Space group R-3m (No. 166, hexagonal axes)
Unique sites:
Rb: 0.0000 0.0000 0.0000 x3
Cd: 0.0000 0.0000 0.1909 x6
Cu: 0.0000 0.0000 0.5000 x3

---

Which is most stable, and by how much? run two, by 30.2 kJ/mol of atoms.

---

Run one
# Cd3CuRe

A relaxed Cd3CuRe crystal (PBE, Alexandria via LeMat-Bulk).

## Properties
Crystal system: cubic
D(E_F): 4.95 states/eV/cell
Density: 6.6 g/cm³

Unit cell a=5.289 b=5.289 c=5.289 alpha=90.00 beta=90.00 gamma=90.00
Space group Pm-3m (No. 221)
Unique sites:
Cd: 0.000 0.000 0.500 x3
Cu: 0.500 0.500 0.500 x1
Re: 0.000 0.000 0.000 x1

---

Run two
# Cd3CuRe

A relaxed Cd3CuRe crystal (PBE, Alexandria via LeMat-Bulk).

## Properties
Crystal system: cubic
D(E_F): 2.90 states/eV/cell
Density: 8.8 g/cm³

Unit cell a=4.804 b=4.804 c=4.804 alpha=90.00 beta=90.00 gamma=90.00
Space group Pm-3m (No. 221)
Unique sites:
Cd: 0.000 0.000 0.500 x3
Cu: 0.000 0.000 0.000 x1
Re: 0.500 0.500 0.500 x1

---

Which is most stable, and by how much? run two, by 13.4 kJ/mol of atoms.

---

Run one
# Cd2CuRh2

A relaxed Cd2CuRh2 crystal (PBE, Alexandria via LeMat-Bulk).

## Properties
Crystal system: tetragonal
D(E_F): 9.36 states/eV/cell
Density: 8.6 g/cm³

Unit cell a=3.875 b=3.875 c=12.690 alpha=90.00 beta=90.00 gamma=90.00
Space group I4/mmm (No. 139)
Unique sites:
Cd: 0.000 0.500 0.250 x4
Cu: 0.000 0.000 0.000 x2
Rh: 0.000 0.000 0.404 x4

---

Run two
# Cd2CuRh2

A relaxed Cd2CuRh2 crystal (PBE, Alexandria via LeMat-Bulk).

## Properties
Crystal system: tetragonal
D(E_F): 12.38 states/eV/cell
Density: 9.4 g/cm³

Unit cell a=6.442 b=6.442 c=4.214 alpha=90.00 beta=90.00 gamma=90.00
Space group P4/mbm (No. 127)
Unique sites:
Cd: 0.169 0.331 0.000 x4
Cu: 0.000 0.000 0.500 x2
Rh: 0.137 0.637 0.500 x4

---

Run three
# Cd2CuRh2

A relaxed Cd2CuRh2 crystal (PBE, Alexandria via LeMat-Bulk).

## Properties
Crystal system: tetragonal
D(E_F): 10.13 states/eV/cell
Density: 8.8 g/cm³

Unit cell a=3.591 b=3.591 c=14.471 alpha=90.00 beta=90.00 gamma=90.00
Space group I4/mmm (No. 139)
Unique sites:
Cd: 0.000 0.000 0.098 x4
Cu: 0.000 0.000 0.500 x2
Rh: 0.000 0.500 0.250 x4

---

Which is most stable, and by how much? run two, by 30.6 kJ/mol of atoms.

---

Run one
# CdCuRu

A relaxed CdCuRu crystal (PBE, Alexandria via LeMat-Bulk).

## Properties
Crystal system: tetragonal
D(E_F): 4.99 states/eV/cell
Density: 10.0 g/cm³

Unit cell a=2.829 b=2.829 c=11.487 alpha=90.00 beta=90.00 gamma=90.00
Space group I4mm (No. 107)
Unique sites:
Cd: 0.000 0.000 0.000 x2
Cu: 0.000 0.000 0.327 x2
Ru: 0.000 0.000 0.682 x2

---

Run two
# CdCuRu

A relaxed CdCuRu crystal (PBE, Alexandria via LeMat-Bulk).

## Properties
Crystal system: trigonal
D(E_F): 2.44 states/eV/cell
Density: 10.0 g/cm³

Unit cell a=2.8010 b=2.8010 c=6.7936 alpha=90.00 beta=90.00 gamma=120.00
Space group P3m1 (No. 156)
Unique sites:
Cd: 0.0000 0.0000 0.0000 x1
Cu: 0.6667 0.3333 0.3412 x1
Ru: 0.3333 0.6667 0.6452 x1

---

Which is most stable, and by how much? run one, by 1.2 kJ/mol of atoms.

---

Run one
# CdCuRu

A relaxed CdCuRu crystal (PBE, Alexandria via LeMat-Bulk).

## Properties
Crystal system: tetragonal
D(E_F): 3.72 states/eV/cell
Density: 9.8 g/cm³

Unit cell a=2.851 b=2.851 c=11.583 alpha=90.00 beta=90.00 gamma=90.00
Space group P4/nmm (No. 129, origin choice 2)
Unique sites:
Cd: 0.250 0.250 0.110 x2
Cu: 0.250 0.250 0.723 x2
Ru: 0.250 0.250 0.430 x2

---

Run two
# CdCuRu

A relaxed CdCuRu crystal (PBE, Alexandria via LeMat-Bulk).

## Properties
Crystal system: cubic
D(E_F): 23.04 states/eV/cell
Density: 8.8 g/cm³

Unit cell a=5.944 b=5.944 c=5.944 alpha=90.00 beta=90.00 gamma=90.00
Space group F-43m (No. 216)
Unique sites:
Cd: 0.000 0.000 0.000 x4
Cu: 0.250 0.250 0.250 x4
Ru: 0.000 0.000 0.500 x4

---

Which is most stable, and by how much? run one, by 48.5 kJ/mol of atoms.

---

Run one
# CdCu2Ru2

A relaxed CdCu2Ru2 crystal (PBE, Alexandria via LeMat-Bulk).

## Properties
Crystal system: tetragonal
D(E_F): 9.68 states/eV/cell
Density: 9.7 g/cm³

Unit cell a=7.289 b=7.289 c=2.835 alpha=90.00 beta=90.00 gamma=90.00
Space group P4/mbm (No. 127)
Unique sites:
Cd: 0.000 0.000 0.000 x2
Cu: 0.168 0.332 0.000 x4
Ru: 0.125 0.625 0.500 x4

---

Run two
# CdCu2Ru2

A relaxed CdCu2Ru2 crystal (PBE, Alexandria via LeMat-Bulk).

## Properties
Crystal system: tetragonal
D(E_F): 4.07 states/eV/cell
Density: 7.1 g/cm³

Unit cell a=4.560 b=4.560 c=4.975 alpha=90.00 beta=90.00 gamma=90.00
Space group P4/mmm (No. 123)
Unique sites:
Cd: 0.000 0.000 0.000 x1
Cu: 0.000 0.500 0.000 x2
Ru: 0.000 0.000 0.500 x1
Ru: 0.500 0.500 0.500 x1

---

Which is most stable, and by how much? run one, by 134.9 kJ/mol of atoms.

---

Run one
# Cd2Cu2S

A relaxed Cd2Cu2S crystal (PBE, Alexandria via LeMat-Bulk).

## Properties
Crystal system: tetragonal
D(E_F): 3.81 states/eV/cell
Density: 7.3 g/cm³

Unit cell a=6.466 b=6.466 c=4.176 alpha=90.00 beta=90.00 gamma=90.00
Space group P4/mbm (No. 127)
Unique sites:
Cd: 0.160 0.340 0.000 x4
Cu: 0.139 0.639 0.500 x4
S: 0.000 0.000 0.500 x2

---

Run two
# Cd2Cu2S

A relaxed Cd2Cu2S crystal (PBE, Alexandria via LeMat-Bulk).

## Properties
Crystal system: tetragonal
D(E_F): 2.65 states/eV/cell
Density: 6.8 g/cm³

Unit cell a=7.117 b=7.117 c=3.697 alpha=90.00 beta=90.00 gamma=90.00
Space group P4/mbm (No. 127)
Unique sites:
Cd: 0.163 0.337 0.000 x4
Cu: 0.124 0.624 0.500 x4
S: 0.000 0.000 0.000 x2

---

Which is most stable, and by how much? run one, by 17.5 kJ/mol of atoms.